Entry 1:
YSeCl2 | GGA-PBEsol | relaxed

final energy: -0.380 Ry per atom
energy above the most stable polymorph in this dataset: 0 meV per atom
magnetic moment: 0.0 μB per formula unit
E_form (uncorrected): -1494.2 meV per atom

abc: 3.565 4.812 7.187
angles: 109.56 104.36 90.00
Atoms (fractional coordinates):
Y 0.500 0.000 0.000
Cl 0.846 0.845 0.691
Cl 0.154 0.155 0.309
Se 0.000 0.500 0.000



Entry 2:
YSeCl2 | GGA-PBEsol | relaxed

final energy: -0.357 Ry per atom
energy above the most stable polymorph in this dataset: 304 meV per atom
magnetic moment: 0.0 μB per formula unit
E_form (uncorrected): -1190.3 meV per atom

abc: 3.928 4.491 4.684
angles: 90.00 90.00 90.00
Atoms (fractional coordinates):
Se 0.500 0.500 0.000
Y 0.000 0.500 0.500
Cl 0.000 0.000 0.000
Cl 0.500 0.000 0.500



Entry 3:
YSe3Cl | GGA-PBEsol | relaxed

final energy: -0.313 Ry per atom
energy above the most stable polymorph in this dataset: 0 meV per atom
magnetic moment: 0.0 μB per formula unit
E_form (uncorrected): -177.5 meV per atom

abc: 4.874 4.874 4.874
angles: 90.00 90.00 90.00
Atoms (fractional coordinates):
Se 0.000 0.500 0.000
Se 0.000 0.000 0.500
Se 0.500 0.000 0.000
Cl 0.000 0.000 0.000
Y 0.500 0.500 0.500



Entry 4:
YSeCl2 | GGA-PBEsol | relaxed

final energy: -0.362 Ry per atom
energy above the most stable polymorph in this dataset: 242 meV per atom
magnetic moment: 0.0 μB per formula unit
E_form (uncorrected): -1252.2 meV per atom

abc: 4.270 4.270 5.377
angles: 113.39 113.39 90.00
Atoms (fractional coordinates):
Se 0.500 0.500 0.000
Cl 0.000 0.000 0.000
Cl 0.750 0.250 0.500
Y 0.250 0.750 0.500



Entry 5:
YSeCl2 | GGA-PBEsol | relaxed

final energy: -0.353 Ry per atom
energy above the most stable polymorph in this dataset: 359 meV per atom
magnetic moment: 0.7 μB per formula unit
E_form (uncorrected): -1134.9 meV per atom

abc: 4.862 4.862 4.862
angles: 60.00 60.00 60.00
Atoms (fractional coordinates):
Se 0.000 0.000 0.000
Cl 0.250 0.250 0.250
Cl 0.750 0.750 0.750
Y 0.500 0.500 0.500



Entry 6:
Y2Se2Cl | GGA-PBEsol | relaxed

final energy: -0.446 Ry per atom
energy above the most stable polymorph in this dataset: 558 meV per atom
magnetic moment: 1.0 μB per formula unit
E_form (uncorrected): -1394.6 meV per atom

abc: 4.895 4.895 7.112
angles: 110.13 110.13 90.00
Atoms (fractional coordinates):
Y 0.353 0.353 0.707
Y 0.647 0.647 0.293
Se 0.250 0.750 0.500
Se 0.750 0.250 0.500
Cl 0.000 0.000 0.000



Entry 7:
YSe3Cl | GGA-PBEsol | relaxed

final energy: -0.309 Ry per atom
energy above the most stable polymorph in this dataset: 54 meV per atom
magnetic moment: 1.3 μB per formula unit
E_form (uncorrected): -123.7 meV per atom

abc: 5.383 5.383 5.383
angles: 90.00 90.00 90.00
Atoms (fractional coordinates):
Y 0.000 0.000 0.000
Se 0.000 0.000 0.500
Se 0.000 0.500 0.000
Se 0.500 0.000 0.000
Cl 0.500 0.500 0.500



Entry 8:
Zn2SeCl | GGA-PBEsol | relaxed

final energy: -0.182 Ry per atom
energy above the most stable polymorph in this dataset: 26 meV per atom
magnetic moment: 0.0 μB per formula unit
E_form (uncorrected): -223.1 meV per atom

abc: 3.669 3.876 7.043
angles: 90.00 90.00 118.25
Atoms (fractional coordinates):
Zn 0.000 0.000 0.766
Zn 0.000 0.000 0.234
Cl 0.500 0.000 0.500
Se 0.500 0.000 0.000



Entry 9:
Zn2SeCl | GGA-PBEsol | relaxed

final energy: -0.184 Ry per atom
energy above the most stable polymorph in this dataset: 0 meV per atom
magnetic moment: 0.0 μB per formula unit
E_form (uncorrected): -249.3 meV per atom

abc: 3.659 5.105 5.105
angles: 86.75 69.00 69.00
Atoms (fractional coordinates):
Se 0.500 0.500 0.500
Cl 0.500 0.000 0.000
Zn 0.000 0.257 0.743
Zn 0.000 0.743 0.257



Entry 10:
Zn2SeCl | GGA-PBEsol | relaxed

final energy: -0.150 Ry per atom
energy above the most stable polymorph in this dataset: 463 meV per atom
magnetic moment: 0.0 μB per formula unit
E_form (uncorrected): 214.2 meV per atom

abc: 4.675 4.675 4.675
angles: 60.00 60.00 60.00
Atoms (fractional coordinates):
Zn 0.000 0.000 0.000
Zn 0.750 0.750 0.750
Cl 0.500 0.500 0.500
Se 0.250 0.250 0.250



Entry 11:
ZrSeCl2 | GGA-PBEsol | relaxed

final energy: -0.334 Ry per atom
energy above the most stable polymorph in this dataset: 558 meV per atom
magnetic moment: 0.4 μB per formula unit
E_form (uncorrected): -307.8 meV per atom

abc: 3.254 3.254 11.645
angles: 81.97 81.97 60.00
Atoms (fractional coordinates):
Zr 0.000 0.000 0.000
Se 0.500 0.500 0.500
Cl 0.067 0.067 0.799
Cl 0.933 0.933 0.201



Entry 12:
ZrSeCl2 | GGA-PBEsol | relaxed

final energy: -0.375 Ry per atom
energy above the most stable polymorph in this dataset: 0 meV per atom
magnetic moment: 0.0 μB per formula unit
E_form (uncorrected): -865.5 meV per atom

abc: 4.722 4.722 4.722
angles: 60.00 60.00 60.00
Atoms (fractional coordinates):
Se 0.500 0.500 0.500
Zr 0.250 0.250 0.250
Cl 0.750 0.750 0.750
Cl 0.000 0.000 0.000



Entry 13:
ZrSe2Cl12 | GGA-PBEsol | relaxed

final energy: -0.262 Ry per atom
magnetic moment: 0.0 μB per formula unit
E_form (uncorrected): -836.7 meV per atom

abc: 8.772 8.772 12.350
angles: 109.36 109.36 93.81
Atoms (fractional coordinates):
Cl 0.342 0.685 0.242
Cl 0.774 0.944 0.439
Cl 0.566 0.761 0.094
Cl 0.935 0.092 0.742
Cl 0.096 0.768 0.590
Cl 0.665 0.495 0.439
Cl 0.583 0.278 0.594
Cl 0.807 0.650 0.742
Cl 0.254 0.908 0.909
Cl 0.745 0.415 0.939
Cl 0.018 0.846 0.090
Cl 0.849 0.163 0.248
Cl 0.072 0.243 0.090
Cl 0.413 0.599 0.748
Cl 0.251 0.405 0.409
Cl 0.528 0.333 0.094
Cl 0.194 0.524 0.939
Cl 0.158 0.004 0.409
Cl 0.493 0.822 0.590
Cl 0.336 0.150 0.748
Cl 0.011 0.316 0.594
Cl 0.400 0.086 0.248
Cl 0.900 0.557 0.242
Cl 0.655 0.001 0.909
Se 0.774 0.322 0.088
Se 0.314 0.766 0.088
Se 0.572 0.524 0.588
Se 0.016 0.064 0.588
Zr 0.126 0.126 0.253
Zr 0.376 0.876 0.753



Entry 14:
ZrSeCl2 | GGA-PBEsol | relaxed

final energy: -0.352 Ry per atom
energy above the most stable polymorph in this dataset: 320 meV per atom
magnetic moment: 0.0 μB per formula unit
E_form (uncorrected): -545.2 meV per atom

abc: 3.361 4.595 4.819
angles: 90.00 90.00 90.00
Atoms (fractional coordinates):
Zr 0.000 0.500 0.500
Cl 0.500 0.000 0.500
Cl 0.000 0.000 0.000
Se 0.500 0.500 0.000